Entry 1:
Compound: HoTm2Al3FeCu2
Source: OQMD
Functional: GGA-PBE
Structure: optimized geometry

Unit cell a=4.075 b=11.844 c=6.837 alpha=90.00 beta=90.00 gamma=90.00
Space group Amm2 (No. 38)
Unique sites:
Ho 0.000 0.000 0.000 [2 per cell]
Tm 0.000 0.205 0.384 [4 per cell]
Al 0.500 0.000 0.359 [2 per cell]
Al 0.500 0.115 0.702 [4 per cell]
Fe 0.000 0.000 0.586 [2 per cell]
Cu 0.500 0.168 0.089 [4 per cell]

Output
Mass density = 7.7 g/cm³
Calculated total energy = -4.89 eV/atom

Entry 2:
Compound: CsGaAg
Source: OQMD
Functional: GGA-PBE
Structure: optimized geometry

Unit cell a=7.811 b=7.811 c=7.811 alpha=90.00 beta=90.00 gamma=90.00
Space group F-43m (No. 216)
Unique sites:
Cs 0.000 0.000 0.000 [4 per cell]
Ga 0.000 0.000 0.500 [4 per cell]
Ag 0.250 0.250 0.250 [4 per cell]

Output
Energy above the most stable polymorph in this dataset = 0.00 kJ per mole of atoms
Mass density = 4.3 g/cm³
Calculated total energy = -1.83 eV/atom

Entry 3:
Compound: PaCuNi4
Source: OQMD
Functional: GGA-PBE
Structure: optimized geometry

Unit cell a=6.844 b=6.844 c=6.844 alpha=90.00 beta=90.00 gamma=90.00
Space group F-43m (No. 216)
Unique sites:
Pa 0.000 0.000 0.000 [4 per cell]
Cu 0.250 0.250 0.250 [4 per cell]
Ni 0.124 0.124 0.624 [16 per cell]

Output
Mass density = 11.0 g/cm³
ΔH_f (0 K) = -0.40 eV/atom
Calculated total energy = -6.32 eV/atom

Entry 4:
Compound: Li2AlCd
Source: OQMD
Functional: GGA-PBE
Structure: optimized geometry

Unit cell a=4.480 b=4.521 c=6.469 alpha=90.00 beta=90.00 gamma=90.00
Space group Pmma (No. 51)
Unique sites:
Li 0.250 0.000 0.121 [2 per cell]
Li 0.250 0.500 0.373 [2 per cell]
Al 0.250 0.500 0.884 [2 per cell]
Cd 0.250 0.000 0.638 [2 per cell]

Output
Mass density = 3.9 g/cm³
Calculated total energy = -2.34 eV/atom

Entry 5:
Compound: GdHoIn
Source: OQMD
Functional: GGA-PBE
Structure: optimized geometry

Unit cell a=5.4028 b=5.4028 c=6.7412 alpha=90.00 beta=90.00 gamma=120.00
Space group P6_3/mmc (No. 194)
Unique sites:
Gd 0.0000 0.0000 0.0000 [2 per cell]
Ho 0.3333 0.6667 0.2500 [2 per cell]
In 0.3333 0.6667 0.7500 [2 per cell]

Output
Energy above the most stable polymorph in this dataset = 0.01 kJ per mole of atoms
Mass density = 8.5 g/cm³
Calculated total energy = -4.34 eV/atom

Entry 6:
Compound: PmBPb
Source: OQMD
Functional: GGA-PBE
Structure: optimized geometry

Unit cell a=7.048 b=7.048 c=7.048 alpha=90.00 beta=90.00 gamma=90.00
Space group F-43m (No. 216)
Unique sites:
Pm 0.000 0.000 0.000 [4 per cell]
B 0.250 0.250 0.750 [4 per cell]
Pb 0.250 0.250 0.250 [4 per cell]

Output
Mass density = 6.9 g/cm³
Calculated total energy = -4.11 eV/atom

Entry 7:
Compound: NdGdZr2Bi2
Source: OQMD
Functional: GGA-PBE
Structure: optimized geometry

Unit cell a=4.371 b=4.371 c=17.185 alpha=90.00 beta=90.00 gamma=90.00
Space group I4mm (No. 107)
Unique sites:
Nd 0.000 0.000 0.000 [2 per cell]
Gd 0.000 0.000 0.353 [2 per cell]
Zr 0.000 0.500 0.178 [4 per cell]
Bi 0.000 0.000 0.547 [2 per cell]
Bi 0.000 0.000 0.810 [2 per cell]

Output
Mass density = 9.1 g/cm³
Calculated total energy = -6.35 eV/atom

Entry 8:
Compound: Ho3In3Ag2Ir
Source: OQMD
Functional: GGA-PBE
Structure: optimized geometry

Unit cell a=7.6783 b=7.6783 c=3.9943 alpha=90.00 beta=90.00 gamma=120.00
Space group P-62m (No. 189)
Unique sites:
Ho 0.0000 0.3908 0.0000 [3 per cell]
In 0.0000 0.7430 0.5000 [3 per cell]
Ag 0.3333 0.6667 0.5000 [2 per cell]
Ir 0.0000 0.0000 0.0000 [1 per cell]

Output
Mass density = 10.2 g/cm³
Calculated total energy = -4.54 eV/atom

Repeat the second record exactly.
Compound: CsGaAg
Source: OQMD
Functional: GGA-PBE
Structure: optimized geometry

Unit cell a=7.811 b=7.811 c=7.811 alpha=90.00 beta=90.00 gamma=90.00
Space group F-43m (No. 216)
Unique sites:
Cs 0.000 0.000 0.000 [4 per cell]
Ga 0.000 0.000 0.500 [4 per cell]
Ag 0.250 0.250 0.250 [4 per cell]

Output
Energy above the most stable polymorph in this dataset = 0.00 kJ per mole of atoms
Mass density = 4.3 g/cm³
Calculated total energy = -1.83 eV/atom